Record 1
A crystal of BeAl3Au relaxed with PBEsol. Source: Alexandria via LeMat-Bulk, functional meta-GGA SCAN.

- Calculated formation energy: 0.553 eV/atom
- Total magnetization: 0.000 μB per cell

abc: 4.7887 4.7887 4.7887
angles: 90.00 90.00 90.00
Space group Pm-3m (No. 221)
Symmetry-distinct sites (fractional):
Be 0.0000 0.0000 0.0000 x1
Al 0.0000 0.5000 0.5000 x3
Au 0.5000 0.5000 0.5000 x1

=====

Record 2
A crystal of BeAlAu2 relaxed with PBEsol. Source: Alexandria via LeMat-Bulk, functional meta-GGA SCAN.

- Calculated formation energy: -0.393 eV/atom
- Total magnetization: 0.000 μB per cell

abc: 8.7801 3.1800 4.2985
angles: 90.00 105.05 90.00
Space group Cm (No. 8)
Symmetry-distinct sites (fractional):
Be 0.0000 0.0000 0.0000 x2
Al 0.2463 0.0000 0.6588 x2
Au 0.0003 0.5000 0.4880 x2
Au 0.2319 0.5000 0.1286 x2

=====

Record 3
A crystal of BeAlAu2 relaxed with PBEsol. Source: Alexandria via LeMat-Bulk, functional meta-GGA SCAN.

- Calculated formation energy: -0.434 eV/atom
- Total magnetization: 0.000 μB per cell

abc: 3.3266 3.3266 5.2829
angles: 90.00 90.00 90.00
Space group P4mm (No. 99)
Symmetry-distinct sites (fractional):
Be 0.0000 0.0000 0.0000 x1
Al 0.5000 0.5000 0.2912 x1
Au 0.0000 0.0000 0.4911 x1
Au 0.5000 0.5000 0.8268 x1

=====

Record 4
A crystal of BeAl2Au relaxed with PBEsol. Source: Alexandria via LeMat-Bulk, functional meta-GGA SCAN.

- Calculated formation energy: 0.179 eV/atom
- Total magnetization: 0.000 μB per cell

abc: 7.1849 7.1849 5.0083
angles: 90.00 90.00 90.00
Space group I-42d (No. 122)
Symmetry-distinct sites (fractional):
Be 0.0000 0.0000 0.0000 x4
Al 0.2453 0.2500 0.1250 x8
Au 0.0000 0.0000 0.5000 x4

=====

Record 5
A crystal of BeAlAu2 relaxed with PBEsol. Source: Alexandria via LeMat-Bulk, functional meta-GGA SCAN.

- Calculated formation energy: -0.385 eV/atom
- Total magnetization: 0.000 μB per cell

abc: 3.2143 4.2255 4.3790
angles: 90.00 90.00 90.00
Space group Pmm2 (No. 25)
Symmetry-distinct sites (fractional):
Be 0.0000 0.0000 0.0000 x1
Al 0.5000 0.5000 0.8602 x1
Au 0.0000 0.5000 0.2979 x1
Au 0.5000 0.0000 0.5635 x1

=====

Record 6
A crystal of BeAlAu2 relaxed with PBEsol. Source: Alexandria via LeMat-Bulk, functional meta-GGA SCAN.

- Calculated formation energy: -0.385 eV/atom
- Total magnetization: 0.000 μB per cell

abc: 3.0019 3.0019 6.2936
angles: 90.00 90.00 90.00
Space group P4/mmm (No. 123)
Symmetry-distinct sites (fractional):
Be 0.0000 0.0000 0.0000 x1
Al 0.0000 0.0000 0.5000 x1
Au 0.5000 0.5000 0.2257 x2

=====

Record 7
A crystal of BeAl2Au relaxed with PBEsol. Source: Alexandria via LeMat-Bulk, functional meta-GGA SCAN.

- Calculated formation energy: -0.184 eV/atom
- Total magnetization: 0.000 μB per cell

abc: 8.3952 3.1734 4.4553
angles: 90.00 97.95 90.00
Space group Cm (No. 8)
Symmetry-distinct sites (fractional):
Be 0.0000 0.0000 0.0000 x2
Al 0.9999 0.5000 0.5109 x2
Al 0.2518 0.0000 0.7889 x2
Au 0.2557 0.5000 0.2587 x2

=====

Record 8
A crystal of Be2AlAu2 relaxed with PBEsol. Source: Alexandria via LeMat-Bulk, functional meta-GGA SCAN.

- Calculated formation energy: -0.358 eV/atom
- Total magnetization: 0.000 μB per cell

abc: 3.3133 3.3133 12.4499
angles: 90.00 90.00 90.00
Space group I4/mmm (No. 139)
Symmetry-distinct sites (fractional):
Be 0.0000 0.5000 0.2500 x4
Al 0.0000 0.0000 0.0000 x2
Au 0.0000 0.0000 0.3857 x4

=====

Record 9
A crystal of Al2BiAu2 relaxed with PBEsol. Source: Alexandria via LeMat-Bulk, functional meta-GGA SCAN.

- Calculated formation energy: -0.375 eV/atom
- Total magnetization: 0.000 μB per cell

abc: 4.0615 4.0615 11.9035
angles: 90.00 90.00 90.00
Space group I4/mmm (No. 139)
Symmetry-distinct sites (fractional):
Al 0.0000 0.5000 0.2500 x4
Bi 0.0000 0.0000 0.0000 x2
Au 0.0000 0.0000 0.3820 x4

=====

Record 10
A crystal of AlBi2Au2 relaxed with PBEsol. Source: Alexandria via LeMat-Bulk, functional meta-GGA SCAN.

- Calculated formation energy: 0.256 eV/atom
- Total magnetization: 0.000 μB per cell

abc: 8.1049 8.1049 3.6693
angles: 90.00 90.00 90.00
Space group P4/mbm (No. 127)
Symmetry-distinct sites (fractional):
Al 0.0000 0.0000 0.0000 x2
Bi 0.1834 0.3166 0.0000 x4
Au 0.1201 0.6201 0.5000 x4

=====

Record 11
A crystal of AlBiAu2N relaxed with PBEsol. Source: Alexandria via LeMat-Bulk, functional meta-GGA SCAN.

- Formation energy from raw total energies: 0.24 eV/atom
- Total magnetization: 0.001 μB per cell

abc: 5.1488 5.1488 3.5155
angles: 90.00 90.00 90.00
Space group P4/mmm (No. 123)
Symmetry-distinct sites (fractional):
Al 0.0000 0.0000 0.0000 x1
Bi 0.5000 0.5000 0.5000 x1
Au 0.0000 0.5000 0.0000 x2
N 0.0000 0.0000 0.5000 x1

=====

Record 12
A crystal of AlBiPb2Au relaxed with PBEsol. Source: Alexandria via LeMat-Bulk, functional meta-GGA SCAN.

- Calculated formation energy: 0.173 eV/atom
- Total magnetization: 0.000 μB per cell

abc: 5.5503 5.5503 4.7787
angles: 90.00 90.00 90.00
Space group P4/mmm (No. 123)
Symmetry-distinct sites (fractional):
Al 0.0000 0.0000 0.0000 x1
Bi 0.5000 0.5000 0.0000 x1
Pb 0.0000 0.5000 0.5000 x2
Au 0.0000 0.0000 0.5000 x1

=====

Record 13
A crystal of Al2SnBiAu relaxed with PBEsol. Source: Alexandria via LeMat-Bulk, functional meta-GGA SCAN.

- Calculated formation energy: 0.187 eV/atom
- Total magnetization: 0.000 μB per cell

abc: 4.7592 4.7592 5.8347
angles: 90.00 90.00 90.00
Space group P4/mmm (No. 123)
Symmetry-distinct sites (fractional):
Al 0.0000 0.5000 0.0000 x2
Sn 0.0000 0.0000 0.5000 x1
Bi 0.5000 0.5000 0.5000 x1
Au 0.5000 0.5000 0.0000 x1

=====

Record 14
A crystal of Al2Au2Br relaxed with PBEsol. Source: Alexandria via LeMat-Bulk, functional meta-GGA SCAN.

- Formation energy from raw total energies: -0.31 eV/atom
- Total magnetization: 0.000 μB per cell

abc: 4.3512 4.3512 10.8935
angles: 90.00 90.00 90.00
Space group I4/mmm (No. 139)
Symmetry-distinct sites (fractional):
Al 0.0000 0.5000 0.2500 x4
Au 0.0000 0.0000 0.1271 x4
Br 0.0000 0.0000 0.5000 x2

=====

Record 15
A crystal of AlAuBr relaxed with PBEsol. Source: Alexandria via LeMat-Bulk, functional meta-GGA SCAN.

- Formation energy from raw total energies: 0.65 eV/atom
- Total magnetization: 0.004 μB per cell

abc: 6.6310 6.6310 6.6310
angles: 90.00 90.00 90.00
Space group F-43m (No. 216)
Symmetry-distinct sites (fractional):
Al 0.0000 0.0000 0.0000 x4
Au 0.0000 0.0000 0.5000 x4
Br 0.2500 0.2500 0.2500 x4

=====

Record 16
A crystal of AlAu2Br relaxed with PBEsol. Source: Alexandria via LeMat-Bulk, functional meta-GGA SCAN.

- Formation energy from raw total energies: 0.35 eV/atom
- Total magnetization: 0.000 μB per cell

abc: 4.3266 4.3266 8.0309
angles: 90.00 90.00 90.00
Space group I-4m2 (No. 119)
Symmetry-distinct sites (fractional):
Al 0.0000 0.0000 0.0000 x2
Au 0.0000 0.0000 0.5000 x2
Au 0.0000 0.5000 0.2500 x2
Br 0.0000 0.5000 0.7500 x2

=====

Record 17
A crystal of Al3AuC relaxed with PBEsol. Source: Alexandria via LeMat-Bulk, functional meta-GGA SCAN.

- Calculated formation energy: 1.221 eV/atom
- Total magnetization: 2.006 μB per cell

abc: 4.7326 4.7326 4.7326
angles: 90.00 90.00 90.00
Space group Pm-3m (No. 221)
Symmetry-distinct sites (fractional):
Al 0.0000 0.0000 0.5000 x3
Au 0.0000 0.0000 0.0000 x1
C 0.5000 0.5000 0.5000 x1

=====

Record 18
A crystal of NaAlAu2C relaxed with PBEsol. Source: Alexandria via LeMat-Bulk, functional meta-GGA SCAN.

- Calculated formation energy: 0.366 eV/atom
- Total magnetization: 0.000 μB per cell

abc: 4.6298 4.6298 3.8023
angles: 90.00 90.00 90.00
Space group P4/mmm (No. 123)
Symmetry-distinct sites (fractional):
Na 0.0000 0.0000 0.0000 x1
Al 0.5000 0.5000 0.0000 x1
Au 0.0000 0.5000 0.5000 x2
C 0.5000 0.5000 0.5000 x1

=====

Record 19
A crystal of Al2ReAuC relaxed with PBEsol. Source: Alexandria via LeMat-Bulk, functional meta-GGA SCAN.

- Calculated formation energy: 0.047 eV/atom
- Total magnetization: 0.000 μB per cell

abc: 4.0964 4.0964 3.9542
angles: 90.00 90.00 90.00
Space group P4/mmm (No. 123)
Symmetry-distinct sites (fractional):
Al 0.0000 0.5000 0.0000 x2
Re 0.0000 0.0000 0.5000 x1
Au 0.5000 0.5000 0.5000 x1
C 0.0000 0.0000 0.0000 x1

=====

Record 20
A crystal of Al2RuAuC relaxed with PBEsol. Source: Alexandria via LeMat-Bulk, functional meta-GGA SCAN.

- Calculated formation energy: 1.863 eV/atom
- Total magnetization: 1.342 μB per cell

abc: 4.6367 4.6367 5.0126
angles: 90.00 90.00 90.00
Space group P4/mmm (No. 123)
Symmetry-distinct sites (fractional):
Al 0.0000 0.5000 0.0000 x2
Ru 0.0000 0.0000 0.5000 x1
Au 0.0000 0.0000 0.0000 x1
C 0.5000 0.5000 0.5000 x1

=====

The total DFT energy (no corrections) results, record by record, are as follows: -18.800, -37.998, -38.039, -22.075, -37.990, -37.990, -22.438, -31.312, -46.854, -60.389, -46.552, -61.237, -39.645, -34.962, -31.469, -41.031, -19.281, -31.710, -33.124, -24.054 eV/atom.